[1]
{
  "formula": "Ta2AgMo",
  "functional": "PBE",
  "state": "relaxed",
  "lattice_angstrom": [[4.896, -1.383, 0.000], [4.896, 1.383, 0.000], [-0.690, 0.000, 5.171]],
  "species": ["Ta", "Ta", "Ag", "Mo"],
  "frac_coords": [[0.000, 0.000, 0.000], [0.247, 0.247, 0.735], [0.499, 0.499, 0.496], [0.754, 0.754, 0.234]],
  "volume_a3_per_cell": 70,
  "delta_e_f_ev_per_atom": 0.332,
  "de_polymorph_mev_per_atom": 239,
  "e_tot_ev_per_cell": -36.1,
  "space_group": "No. 8"
}


[2]
{
  "formula": "Ca3Pr3SmTe8",
  "functional": "PBE",
  "state": "relaxed",
  "lattice_angstrom": [[4.487, 2.591, 7.429], [-4.487, 2.591, 7.429], [0.000, -5.181, 7.429]],
  "species": ["Ca", "Ca", "Ca", "Pr", "Pr", "Pr", "Sm", "Te", "Te", "Te", "Te", "Te", "Te", "Te", "Te"],
  "frac_coords": [[0.000, 0.500, 0.500], [0.500, 0.000, 0.500], [0.500, 0.500, 0.000], [0.000, 0.000, 0.500], [0.000, 0.500, 0.000], [0.500, 0.000, 0.000], [0.500, 0.500, 0.500], [0.250, 0.250, 0.747], [0.250, 0.747, 0.250], [0.252, 0.252, 0.252], [0.253, 0.750, 0.750], [0.747, 0.250, 0.250], [0.748, 0.748, 0.748], [0.750, 0.253, 0.750], [0.750, 0.750, 0.253]],
  "volume_a3_per_cell": 518,
  "e_tot_ev_per_cell": -73.1,
  "space_group": "No. 166",
  "raw_formation_energy_ev_per_atom": -1.52
}


[3]
{
  "formula": "LaP5",
  "functional": "PBE",
  "state": "relaxed",
  "lattice_angstrom": [[5.261, -1.753, 0.000], [5.261, 1.753, 0.000], [-2.085, 0.000, 6.594]],
  "species": ["La", "P", "P", "P", "P", "P"],
  "frac_coords": [[0.000, 0.000, 0.000], [0.076, 0.076, 0.467], [0.257, 0.257, 0.921], [0.272, 0.272, 0.409], [0.629, 0.629, 0.713], [0.744, 0.744, 0.184]],
  "volume_a3_per_cell": 122,
  "delta_e_f_ev_per_atom": -0.284,
  "e_tot_ev_per_cell": -33.7,
  "space_group": "No. 8"
}


[4]
{
  "formula": "ZrWS2Cl",
  "functional": "PBE",
  "state": "relaxed",
  "lattice_angstrom": [[4.722, 0.000, 0.000], [0.000, 4.722, 0.000], [0.000, 0.000, 4.656]],
  "species": ["Zr", "W", "S", "S", "Cl"],
  "frac_coords": [[0.000, 0.000, 0.000], [0.500, 0.500, 0.000], [0.000, 0.500, 0.500], [0.500, 0.000, 0.500], [0.000, 0.000, 0.500]],
  "volume_a3_per_cell": 104,
  "de_polymorph_mev_per_atom": 1228,
  "e_tot_ev_per_cell": -24.4,
  "space_group": "No. 123",
  "raw_formation_energy_ev_per_atom": 1.44
}


[5]
{
  "formula": "La2Pm3Si4",
  "functional": "PBE",
  "state": "relaxed",
  "lattice_angstrom": [[3.591, -8.190, 0.000], [3.591, 8.190, 0.000], [0.000, 0.000, 8.361]],
  "species": ["La", "La", "La", "La", "Pm", "Pm", "Pm", "Pm", "Pm", "Pm", "Si", "Si", "Si", "Si", "Si", "Si", "Si", "Si"],
  "frac_coords": [[0.106, 0.894, 0.913], [0.394, 0.606, 0.413], [0.606, 0.394, 0.587], [0.894, 0.106, 0.087], [0.000, 0.000, 0.500], [0.044, 0.456, 0.750], [0.456, 0.044, 0.250], [0.500, 0.500, 0.000], [0.544, 0.956, 0.750], [0.956, 0.544, 0.250], [0.190, 0.810, 0.555], [0.221, 0.279, 0.750], [0.279, 0.221, 0.250], [0.310, 0.690, 0.055], [0.690, 0.310, 0.945], [0.721, 0.779, 0.750], [0.779, 0.721, 0.250], [0.810, 0.190, 0.445]],
  "volume_a3_per_cell": 492,
  "de_polymorph_mev_per_atom": 191,
  "e_tot_ev_per_cell": -101.0,
  "space_group": "No. 64",
  "raw_formation_energy_ev_per_atom": -0.52
}


[6]
{
  "formula": "SrNbSn2Se",
  "functional": "PBE",
  "state": "relaxed",
  "lattice_angstrom": [[5.787, 0.000, 0.000], [0.000, 5.787, 0.000], [0.000, 0.000, 5.411]],
  "species": ["Sr", "Nb", "Sn", "Sn", "Se"],
  "frac_coords": [[0.000, 0.000, 0.000], [0.500, 0.500, 0.500], [0.000, 0.500, 0.000], [0.500, 0.000, 0.000], [0.000, 0.000, 0.500]],
  "volume_a3_per_cell": 181,
  "de_polymorph_mev_per_atom": 1653,
  "e_tot_ev_per_cell": -16.3,
  "space_group": "No. 123",
  "raw_formation_energy_ev_per_atom": 1.39
}


[7]
{
  "formula": "ScWSe",
  "functional": "PBE",
  "state": "relaxed",
  "lattice_angstrom": [[-1.630, 1.630, 5.213], [1.630, -1.630, 5.213], [1.630, 1.630, -5.213]],
  "species": ["Sc", "W", "Se"],
  "frac_coords": [[0.000, 0.000, 0.000], [0.318, 0.318, 0.000], [0.701, 0.701, 0.000]],
  "volume_a3_per_cell": 55,
  "de_polymorph_mev_per_atom": 4,
  "e_tot_ev_per_cell": -23.0,
  "space_group": "No. 107",
  "raw_formation_energy_ev_per_atom": -0.09
}


[8]
{
  "formula": "ErGa12Rh4",
  "functional": "PBE",
  "state": "relaxed",
  "lattice_angstrom": [[-4.372, 4.372, 4.372], [4.372, -4.372, 4.372], [4.372, 4.372, -4.372]],
  "species": ["Er", "Ga", "Ga", "Ga", "Ga", "Ga", "Ga", "Ga", "Ga", "Ga", "Ga", "Ga", "Ga", "Rh", "Rh", "Rh", "Rh"],
  "frac_coords": [[0.000, 0.000, 0.000], [0.157, 0.340, 0.497], [0.157, 0.660, 0.817], [0.183, 0.843, 0.340], [0.340, 0.183, 0.843], [0.340, 0.497, 0.157], [0.497, 0.157, 0.340], [0.503, 0.843, 0.660], [0.660, 0.503, 0.843], [0.660, 0.817, 0.157], [0.817, 0.157, 0.660], [0.843, 0.340, 0.183], [0.843, 0.660, 0.503], [0.000, 0.000, 0.500], [0.000, 0.500, 0.000], [0.500, 0.000, 0.000], [0.500, 0.500, 0.500]],
  "volume_a3_per_cell": 334,
  "delta_e_f_ev_per_atom": -0.214,
  "e_tot_ev_per_cell": -73.9,
  "space_group": "No. 204"
}


[9]
{
  "formula": "KRu2Se",
  "functional": "PBE",
  "state": "relaxed",
  "lattice_angstrom": [[1.567, 0.905, 9.129], [-1.567, 0.905, 9.129], [0.000, -1.809, 9.129]],
  "species": ["K", "Ru", "Ru", "Se"],
  "frac_coords": [[0.000, 0.000, 0.000], [0.228, 0.228, 0.228], [0.772, 0.772, 0.772], [0.500, 0.500, 0.500]],
  "volume_a3_per_cell": 78,
  "e_tot_ev_per_cell": -20.3,
  "space_group": "No. 166",
  "raw_formation_energy_ev_per_atom": 0.71
}


[10]
{
  "formula": "Ce2PrZr",
  "functional": "PBE",
  "state": "relaxed",
  "lattice_angstrom": [[4.729, 0.000, 0.000], [0.000, 4.729, 0.000], [0.000, 0.000, 5.069]],
  "species": ["Ce", "Ce", "Pr", "Zr"],
  "frac_coords": [[0.000, 0.500, 0.000], [0.500, 0.000, 0.000], [0.000, 0.000, 0.500], [0.500, 0.500, 0.500]],
  "volume_a3_per_cell": 113,
  "delta_e_f_ev_per_atom": 0.173,
  "de_polymorph_mev_per_atom": 39,
  "e_tot_ev_per_cell": -24.5,
  "space_group": "No. 123"
}


[11]
{
  "formula": "LiHo2Ir",
  "functional": "PBE",
  "state": "relaxed",
  "lattice_angstrom": [[4.806, 0.000, 0.000], [0.000, 4.806, 0.000], [0.000, 0.000, 3.610]],
  "species": ["Li", "Ho", "Ho", "Ir"],
  "frac_coords": [[0.000, 0.000, 0.000], [0.000, 0.500, 0.500], [0.500, 0.000, 0.500], [0.500, 0.500, 0.000]],
  "volume_a3_per_cell": 83,
  "delta_e_f_ev_per_atom": -0.475,
  "de_polymorph_mev_per_atom": 119,
  "e_tot_ev_per_cell": -21.8,
  "space_group": "No. 123"
}


[12]
{
  "formula": "Cs2CuBiO4",
  "functional": "PBE",
  "state": "relaxed",
  "lattice_angstrom": [[0.000, 6.929, 9.897], [2.974, 0.000, 9.897], [2.974, 6.929, 0.000]],
  "species": ["Cs", "Cs", "Cs", "Cs", "Cu", "Cu", "Bi", "Bi", "O", "O", "O", "O", "O", "O", "O", "O"],
  "frac_coords": [[0.052, 0.052, 0.698], [0.302, 0.302, 0.948], [0.698, 0.698, 0.052], [0.948, 0.948, 0.302], [0.125, 0.125, 0.125], [0.875, 0.875, 0.875], [0.375, 0.375, 0.375], [0.625, 0.625, 0.625], [0.026, 0.295, 0.406], [0.227, 0.594, 0.705], [0.295, 0.026, 0.773], [0.406, 0.773, 0.026], [0.594, 0.227, 0.974], [0.705, 0.974, 0.227], [0.773, 0.406, 0.295], [0.974, 0.705, 0.594]],
  "volume_a3_per_cell": 408,
  "e_tot_ev_per_cell": -73.9,
  "space_group": "No. 70",
  "raw_formation_energy_ev_per_atom": -0.93
}